Compound: YB4W
Source: the Open Quantum Materials Database
Functional: PBE
Structure: optimized geometry

a = 3.129 Å, b = 3.129 Å, c = 7.147 Å
α = 90.00°, β = 90.00°, γ = 120.00°
Fractional coordinates of all 6 atoms:
Y 0.000 0.000 0.000
B 0.333 0.667 0.274
B 0.333 0.667 0.726
B 0.667 0.333 0.274
B 0.667 0.333 0.726
W 0.000 0.000 0.500

Properties
The symmetry is P6/mmm. For the final energy, the calculation gives -0.5988 Ry per atom.

---

Compound: GdTmGa2
Source: the Open Quantum Materials Database
Functional: PBE
Structure: optimized geometry

a = 4.050 Å, b = 4.334 Å, c = 10.854 Å
α = 90.00°, β = 90.00°, γ = 90.00°
Fractional coordinates of all 8 atoms:
Gd 0.000 0.000 0.000
Gd 0.000 0.500 0.500
Tm 0.500 0.000 0.279
Tm 0.500 0.500 0.779
Ga 0.000 0.000 0.717
Ga 0.000 0.500 0.217
Ga 0.500 0.000 0.563
Ga 0.500 0.500 0.063

Properties
The symmetry is Amm2. For the final energy, the calculation gives -0.3248 Ry per atom.

---

Compound: LuNbCu
Source: the Open Quantum Materials Database
Functional: PBE
Structure: optimized geometry

a = 6.472 Å, b = 6.472 Å, c = 6.472 Å
α = 90.00°, β = 90.00°, γ = 90.00°
Fractional coordinates of all 12 atoms:
Lu 0.000 0.000 0.000
Lu 0.000 0.500 0.500
Lu 0.500 0.000 0.500
Lu 0.500 0.500 0.000
Nb 0.250 0.250 0.250
Nb 0.250 0.750 0.750
Nb 0.750 0.250 0.750
Nb 0.750 0.750 0.250
Cu 0.250 0.250 0.750
Cu 0.250 0.750 0.250
Cu 0.750 0.250 0.250
Cu 0.750 0.750 0.750

Properties
As for the formation energy: 1213 meV per atom. The symmetry is F-43m.

---

Compound: ReTeNO
Source: the Open Quantum Materials Database
Functional: PBE
Structure: optimized geometry

a = 3.172 Å, b = 5.968 Å, c = 7.272 Å
α = 90.00°, β = 90.00°, γ = 90.00°
Fractional coordinates of all 8 atoms:
Re 0.000 0.015 0.000
Re 0.000 0.985 0.500
Te 0.500 0.359 0.377
Te 0.500 0.641 0.877
N 0.500 0.170 0.063
N 0.500 0.830 0.563
O 0.000 0.100 0.748
O 0.000 0.900 0.248

Properties
The symmetry is Pmc2_1. For the final energy, the calculation gives -0.5429 Ry per atom.

---

Compound: PaFePd
Source: the Open Quantum Materials Database
Functional: PBE
Structure: optimized geometry

a = 6.092 Å, b = 6.092 Å, c = 6.092 Å
α = 90.00°, β = 90.00°, γ = 90.00°
Fractional coordinates of all 12 atoms:
Pa 0.000 0.000 0.000
Pa 0.000 0.500 0.500
Pa 0.500 0.000 0.500
Pa 0.500 0.500 0.000
Fe 0.250 0.250 0.750
Fe 0.250 0.750 0.250
Fe 0.750 0.250 0.250
Fe 0.750 0.750 0.750
Pd 0.000 0.000 0.500
Pd 0.000 0.500 0.000
Pd 0.500 0.000 0.000
Pd 0.500 0.500 0.500

Properties
As for the formation energy: -47 meV per atom. The symmetry is F-43m.

---

Compound: BaPrAsO
Source: the Open Quantum Materials Database
Functional: PBE
Structure: optimized geometry

a = 4.471 Å, b = 7.438 Å, c = 7.071 Å
α = 90.00°, β = 90.00°, γ = 90.00°
Fractional coordinates of all 8 atoms:
Ba 0.000 0.135 0.000
Ba 0.000 0.865 0.500
Pr 0.500 0.467 0.677
Pr 0.500 0.533 0.177
As 0.000 0.313 0.433
As 0.000 0.687 0.933
O 0.500 0.293 0.952
O 0.500 0.707 0.452

Properties
The symmetry is Pmc2_1. For the final energy, the calculation gives -0.4444 Ry per atom.

---

Compound: Nd4I5N
Source: the Open Quantum Materials Database
Functional: PBE
Structure: optimized geometry

a = 9.806 Å, b = 9.806 Å, c = 8.851 Å
α = 102.70°, β = 102.70°, γ = 23.77°
Fractional coordinates of all 10 atoms:
Nd 0.001 0.001 0.309
Nd 0.369 0.369 0.434
Nd 0.631 0.631 0.566
Nd 0.999 0.999 0.691
I 0.165 0.165 0.845
I 0.170 0.170 0.319
I 0.500 0.500 0.000
I 0.830 0.830 0.681
I 0.835 0.835 0.155
N 0.500 0.500 0.500

Properties
The symmetry is C2/m. For the final energy, the calculation gives -0.3546 Ry per atom.

---

Compound: Zr4AlSiC2
Source: the Open Quantum Materials Database
Functional: PBE
Structure: optimized geometry

a = 3.328 Å, b = 3.328 Å, c = 14.074 Å
α = 90.00°, β = 90.00°, γ = 120.00°
Fractional coordinates of all 8 atoms:
Zr 0.000 0.000 0.151
Zr 0.000 0.000 0.849
Zr 0.333 0.667 0.333
Zr 0.333 0.667 0.667
Al 0.000 0.000 0.500
Si 0.333 0.667 0.000
C 0.667 0.333 0.243
C 0.667 0.333 0.757

Properties
The symmetry is P-6m2. For the final energy, the calculation gives -0.6191 Ry per atom.

---

Compound: ZnTePtO
Source: the Open Quantum Materials Database
Functional: PBE
Structure: optimized geometry

a = 3.808 Å, b = 3.808 Å, c = 9.038 Å
α = 90.00°, β = 90.00°, γ = 90.00°
Fractional coordinates of all 8 atoms:
Zn 0.250 0.250 0.076
Zn 0.750 0.750 0.924
Te 0.250 0.250 0.689
Te 0.750 0.750 0.311
Pt 0.250 0.250 0.392
Pt 0.750 0.750 0.608
O 0.250 0.750 0.000
O 0.750 0.250 0.000

Properties
The symmetry is P4/nmm. For the final energy, the calculation gives -0.3250 Ry per atom.

---

Compound: ScZnNiAg
Source: the Open Quantum Materials Database
Functional: PBE
Structure: optimized geometry

a = 6.360 Å, b = 6.360 Å, c = 6.360 Å
α = 90.00°, β = 90.00°, γ = 90.00°
Fractional coordinates of all 16 atoms:
Sc 0.000 0.000 0.000
Sc 0.000 0.500 0.500
Sc 0.500 0.000 0.500
Sc 0.500 0.500 0.000
Zn 0.250 0.250 0.250
Zn 0.250 0.750 0.750
Zn 0.750 0.250 0.750
Zn 0.750 0.750 0.250
Ni 0.000 0.000 0.500
Ni 0.000 0.500 0.000
Ni 0.500 0.000 0.000
Ni 0.500 0.500 0.500
Ag 0.250 0.250 0.750
Ag 0.250 0.750 0.250
Ag 0.750 0.250 0.250
Ag 0.750 0.750 0.750

Properties
As for the formation energy: -165 meV per atom. The symmetry is F-43m.